Computed, not measured: a relaxed YPu2HfP4 crystal at the PBE level of DFT.

Computed properties:
Energy relative to the elements ... -1309 meV/atom
Raw total energy ... -0.355 Ha/atom
Space-group type ... P2/m, No. 10

Lattice parameters (Å, degrees): 3.918 6.793 6.760 109.54 90.00 90.00
Atoms (fractional coordinates):
1 Y 0.500 0.500 0.000
2 P 0.000 0.239 0.755
3 P 0.500 0.237 0.239
4 P 0.000 0.761 0.245
5 P 0.500 0.763 0.761
6 Pu 0.500 0.000 0.500
7 Pu 0.000 0.500 0.500
8 Hf 0.000 0.000 0.000

Computed, not measured: a relaxed Y2PuHfP4 crystal at the PBE level of DFT.

Computed properties:
Energy relative to the elements ... -1428 meV/atom
Raw total energy ... -0.323 Ha/atom
Space-group type ... P2/m, No. 10

Lattice parameters (Å, degrees): 3.919 6.771 6.787 109.27 90.00 90.00
Atoms (fractional coordinates):
1 Y 0.000 0.500 0.500
2 Y 0.500 0.000 0.500
3 P 0.500 0.745 0.761
4 P 0.000 0.263 0.765
5 P 0.500 0.255 0.239
6 P 0.000 0.737 0.235
7 Pu 0.000 0.000 0.000
8 Hf 0.500 0.500 0.000

Computed, not measured: a relaxed PuHf2ZrP4 crystal at the PBE level of DFT.

Computed properties:
Energy relative to the elements ... -1302 meV/atom
Raw total energy ... -0.344 Ha/atom
Space-group type ... P2/m, No. 10

Lattice parameters (Å, degrees): 3.768 6.535 6.534 109.12 90.00 90.00
Atoms (fractional coordinates):
1 P 0.500 0.258 0.261
2 P 0.000 0.749 0.257
3 P 0.000 0.251 0.743
4 P 0.500 0.742 0.739
5 Hf 0.000 0.500 0.500
6 Hf 0.500 0.000 0.500
7 Zr 0.500 0.500 0.000
8 Pu 0.000 0.000 0.000

Computed, not measured: a relaxed Pu2HfZrP4 crystal at the PBE level of DFT.

Computed properties:
Energy relative to the elements ... -1300 meV/atom
Raw total energy ... -0.364 Ha/atom
Space-group type ... P2/m, No. 10

Lattice parameters (Å, degrees): 3.847 6.657 6.660 109.41 90.00 90.00
Atoms (fractional coordinates):
1 P 0.500 0.752 0.764
2 P 0.000 0.744 0.234
3 P 0.000 0.256 0.766
4 P 0.500 0.248 0.236
5 Pu 0.000 0.500 0.500
6 Pu 0.500 0.000 0.500
7 Hf 0.500 0.500 0.000
8 Zr 0.000 0.000 0.000

Computed, not measured: a relaxed Pu3Hf2ZrP6 crystal at the PBE level of DFT.

Computed properties:
Energy relative to the elements ... -1293 meV/atom
Raw total energy ... -0.366 Ha/atom
Space-group type ... C2/m, No. 12

Lattice parameters (Å, degrees): 6.652 6.652 6.672 99.56 99.56 120.00
Atoms (fractional coordinates):
1 Pu 0.834 0.166 0.500
2 Pu 0.500 0.500 0.500
3 Pu 0.166 0.834 0.500
4 P 0.742 0.742 0.235
5 P 0.586 0.921 0.764
6 P 0.258 0.258 0.765
7 P 0.414 0.079 0.236
8 P 0.079 0.414 0.236
9 P 0.921 0.586 0.764
10 Zr 0.000 0.000 0.000
11 Hf 0.667 0.333 0.000
12 Hf 0.333 0.667 0.000

Computed, not measured: a relaxed RbHf3P crystal at the PBE level of DFT.

Computed properties:
Energy relative to the elements ... 2546 meV/atom
Raw total energy ... -0.173 Ha/atom
Space-group type ... Pm-3m, No. 221

Lattice parameters (Å, degrees): 5.011 5.011 5.011 90.00 90.00 90.00
Atoms (fractional coordinates):
1 P 0.500 0.500 0.500
2 Hf 0.000 0.000 0.500
3 Hf 0.000 0.500 0.000
4 Hf 0.500 0.000 0.000
5 Rb 0.000 0.000 0.000

Computed, not measured: a relaxed RbHf3P crystal at the PBE level of DFT.

Computed properties:
Energy relative to the elements ... 481 meV/atom
Raw total energy ... -0.249 Ha/atom
Space-group type ... Pm-3m, No. 221

Lattice parameters (Å, degrees): 5.054 5.054 5.054 90.00 90.00 90.00
Atoms (fractional coordinates):
1 Hf 0.500 0.000 0.000
2 Hf 0.000 0.500 0.000
3 Hf 0.000 0.000 0.500
4 Rb 0.500 0.500 0.500
5 P 0.000 0.000 0.000

Computed, not measured: a relaxed RbHfP2 crystal at the PBE level of DFT.

Computed properties:
Energy relative to the elements ... -376 meV/atom
Raw total energy ... -0.214 Ha/atom
Space-group type ... I-42d, No. 122

Lattice parameters (Å, degrees): 6.283 6.283 8.713 68.87 68.87 90.00
Atoms (fractional coordinates):
1 Hf 0.000 0.000 0.000
2 Hf 0.750 0.250 0.500
3 P 0.875 0.128 0.750
4 P 0.872 0.625 0.250
5 P 0.375 0.122 0.750
6 P 0.878 0.125 0.250
7 Rb 0.500 0.500 0.000
8 Rb 0.250 0.750 0.500

Computed, not measured: a relaxed Rb3HfP crystal at the PBE level of DFT.

Computed properties:
Energy relative to the elements ... 1036 meV/atom
Raw total energy ... -0.096 Ha/atom
Space-group type ... Pm-3m, No. 221

Lattice parameters (Å, degrees): 6.581 6.581 6.581 90.00 90.00 90.00
Atoms (fractional coordinates):
1 Rb 0.000 0.000 0.500
2 Rb 0.000 0.500 0.000
3 Rb 0.500 0.000 0.000
4 Hf 0.500 0.500 0.500
5 P 0.000 0.000 0.000

Computed, not measured: a relaxed Rb2HfP crystal at the PBE level of DFT.

Computed properties:
Energy relative to the elements ... 260 meV/atom
Raw total energy ... -0.149 Ha/atom
Space-group type ... I-42d, No. 122

Lattice parameters (Å, degrees): 13.218 13.218 9.673 46.90 46.90 90.00
Atoms (fractional coordinates):
1 Rb 0.375 0.552 0.750
2 Rb 0.302 0.625 0.250
3 Rb 0.875 0.698 0.750
4 Rb 0.448 0.125 0.250
5 P 0.500 0.500 0.000
6 P 0.250 0.750 0.500
7 Hf 0.000 0.000 0.000
8 Hf 0.750 0.250 0.500

Computed, not measured: a relaxed RbHfP2 crystal at the PBE level of DFT.

Computed properties:
Energy relative to the elements ... 196 meV/atom
Raw total energy ... -0.193 Ha/atom
Space-group type ... Fm-3m, No. 225

Lattice parameters (Å, degrees): 4.926 4.926 4.926 60.00 60.00 60.00
Atoms (fractional coordinates):
1 Hf 0.500 0.500 0.500
2 P 0.750 0.750 0.750
3 P 0.250 0.250 0.250
4 Rb 0.000 0.000 0.000

Computed, not measured: a relaxed RbHfP2Rh crystal at the PBE level of DFT.

Computed properties:
Energy relative to the elements ... 224 meV/atom
Raw total energy ... -0.206 Ha/atom
Space-group type ... P4/mmm, No. 123

Lattice parameters (Å, degrees): 5.113 4.964 5.113 90.00 90.00 90.00
Atoms (fractional coordinates):
1 Rh 0.000 0.500 0.000
2 Rb 0.500 0.500 0.500
3 P 0.000 0.000 0.500
4 P 0.500 0.000 0.000
5 Hf 0.000 0.000 0.000